Tl2Cd4InHg3 | PBE-GGA | relaxed

Values from the calculation:
* Fermi-level density of states: 0.382 states/eV/atom
* energy relative to the elements: 0.027 eV per atom
* SG: P-4m2, No. 115

Cell: 4.5372 4.5372 13.4810 Å, 90.00 90.00 90.00°
Last column: nearest neighbours and their distance in Å.
Positions (direct):
Tl 0.0000 0.5000 0.2378  4 Hg 3.45, 4 Cd 3.56
Tl 0.5000 0.0000 0.7622  4 Hg 3.45, 4 Cd 3.56
Cd 0.0000 0.0000 0.0000  4 Hg 2.99, 4 Cd 3.21
Cd 0.0000 0.5000 0.6473  3 Hg 2.81-3.01, 2 In 3.01
Cd 0.5000 0.0000 0.3527  3 Hg 2.81-3.01, 2 In 3.01
Cd 0.5000 0.5000 0.0000  4 Hg 2.99, 4 Cd 3.21
In 0.0000 0.0000 0.5000  4 Cd 3.01, 4 Hg 3.21
Hg 0.0000 0.5000 0.8560  5 Cd 2.81-2.99
Hg 0.5000 0.0000 0.1440  5 Cd 2.81-2.99
Hg 0.5000 0.5000 0.5000  4 Cd 3.01, 4 In 3.21


InIr3Pb | PBE-GGA | relaxed

Values from the calculation:
* Fermi-level density of states: 1.358 states/eV/atom
* energy relative to the elements: 1.685 eV per atom
* SG: Pm-3m, No. 221

Cell: 4.9215 4.9215 4.9215 Å, 90.00 90.00 90.00°
Last column: nearest neighbours and their distance in Å.
Positions (direct):
In 0.0000 0.0000 0.0000  6 Ir 2.46
Ir 0.0000 0.0000 0.5000  2 In 2.46
Ir 0.0000 0.5000 0.0000  2 In 2.46
Ir 0.5000 0.0000 0.0000  2 In 2.46
Pb 0.5000 0.5000 0.5000  12 Ir 3.48


BaCoBiPb2 | PBE-GGA | relaxed

Values from the calculation:
* Fermi-level density of states: 0.980 states/eV/atom
* energy relative to the elements: 1.241 eV per atom
* SG: P4/mmm, No. 123

Cell: 6.2890 6.2890 4.8096 Å, 90.00 90.00 90.00°
Last column: nearest neighbours and their distance in Å.
Positions (direct):
Ba 0.0000 0.0000 0.0000  2 Co 2.40
Co 0.0000 0.0000 0.5000  2 Ba 2.40
Bi 0.5000 0.5000 0.5000  8 Pb 3.96
Pb 0.0000 0.5000 0.0000  2 Ba 3.14
Pb 0.5000 0.0000 0.0000  2 Ba 3.14


BaCd3 | PBE-GGA | relaxed

Values from the calculation:
* Fermi-level density of states: 1.447 states/eV/atom
* energy relative to the elements: 0.561 eV per atom
* SG: Pm-3m, No. 221

Cell: 7.1077 7.1077 7.1077 Å, 90.00 90.00 90.00°
Last column: nearest neighbours and their distance in Å.
Positions (direct):
Ba 0.0000 0.0000 0.0000  6 Cd 3.55
Cd 0.0000 0.0000 0.5000  2 Ba 3.55
Cd 0.0000 0.5000 0.0000  2 Ba 3.55
Cd 0.5000 0.0000 0.0000  2 Ba 3.55